# 1
A relaxed structure of Al2ZnFe, computed with PBE-GGA.

Summary:
The total energy is -3.964 eV/atom. The calculation puts the size of the total moment at 6.5 μB/cell. Its formation enthalpy at 0 K is 1.37 eV/f.u.

Cell lengths 6.9472, 6.9472, 5.1883 Å; angles 90.00, 90.00, 90.00 degrees
Fractional positions:
Al  0.2316  0.2500  0.1250
Al  0.2500  0.7316  0.3750
Al  0.2500  0.7684  0.8750
Al  0.2684  0.2500  0.6250
Al  0.7316  0.7500  0.6250
Al  0.7500  0.2316  0.8750
Al  0.7500  0.2684  0.3750
Al  0.7684  0.7500  0.1250
Zn  0.0000  0.0000  0.5000
Zn  0.0000  0.5000  0.7500
Zn  0.5000  0.0000  0.2500
Zn  0.5000  0.5000  0.0000
Fe  0.0000  0.0000  0.0000
Fe  0.0000  0.5000  0.2500
Fe  0.5000  0.0000  0.7500
Fe  0.5000  0.5000  0.5000



# 2
A relaxed structure of ZrAlZnFe, computed with PBE-GGA.

Summary:
The total energy is -5.734 eV/atom. The calculation puts the size of the total moment at 4.5 μB/cell. Its formation enthalpy at 0 K is -0.91 eV/f.u.

Cell lengths 6.2692, 6.2692, 6.2692 Å; angles 90.00, 90.00, 90.00 degrees
Fractional positions:
Zr  0.0000  0.0000  0.0000
Zr  0.0000  0.5000  0.5000
Zr  0.5000  0.0000  0.5000
Zr  0.5000  0.5000  0.0000
Al  0.0000  0.0000  0.5000
Al  0.0000  0.5000  0.0000
Al  0.5000  0.0000  0.0000
Al  0.5000  0.5000  0.5000
Zn  0.2500  0.2500  0.7500
Zn  0.2500  0.7500  0.2500
Zn  0.7500  0.2500  0.2500
Zn  0.7500  0.7500  0.7500
Fe  0.2500  0.2500  0.2500
Fe  0.2500  0.7500  0.7500
Fe  0.7500  0.2500  0.7500
Fe  0.7500  0.7500  0.2500



# 3
A relaxed structure of ZrAl4Fe, computed with PBE-GGA.

Summary:
The total energy is -5.544 eV/atom. The calculation puts the size of the total moment at 2.7 μB/cell. Its formation enthalpy at 0 K is -1.28 eV/f.u.

Cell lengths 7.6695, 7.6695, 4.8169 Å; angles 108.28, 108.28, 48.72 degrees
Fractional positions:
Zr  0.2092  0.2092  0.2086
Zr  0.7908  0.7908  0.7914
Al  0.1115  0.6628  0.3875
Al  0.1904  0.8096  0.0000
Al  0.3372  0.8885  0.6125
Al  0.3387  0.3387  0.8381
Al  0.6613  0.6613  0.1619
Al  0.6628  0.1115  0.3875
Al  0.8096  0.1904  0.0000
Al  0.8885  0.3372  0.6125
Fe  0.4998  0.4998  0.2690
Fe  0.5002  0.5002  0.7310